A plane-wave DFT calculation with PBE was carried out for a geometry-optimized GdThCdTc structure.

POSCAR file:
```
GdThCdTc
1.0
0.000 3.655 3.655
3.655 0.000 3.655
3.655 3.655 0.000
Gd Th Cd Tc
1 1 1 1
direct
0.000 0.000 0.000 Gd
0.500 0.500 0.500 Th
0.250 0.250 0.250 Cd
0.750 0.750 0.750 Tc
```

Calculated values
As for the symmetry: F-43m.

A plane-wave DFT calculation with PBE was carried out for a geometry-optimized GdZrCdTc structure.

POSCAR file:
```
GdZrCdTc
1.0
0.000 3.499 3.499
3.499 0.000 3.499
3.499 3.499 0.000
Gd Zr Cd Tc
1 1 1 1
direct
0.000 0.000 0.000 Gd
0.500 0.500 0.500 Zr
0.250 0.250 0.250 Cd
0.750 0.750 0.750 Tc
```

Calculated values
As for the symmetry: F-43m.

A plane-wave DFT calculation with PBE was carried out for a geometry-optimized Gd2CdTe structure.

POSCAR file:
```
Gd2CdTe
1.0
3.876 0.000 0.000
0.000 3.876 0.000
0.000 0.000 7.298
Gd Cd Te
2 1 1
direct
0.000 0.000 0.247 Gd
0.000 0.000 0.753 Gd
0.500 0.500 0.500 Cd
0.500 0.500 0.000 Te
```

Calculated values
The formation energy (no corrections) is -0.76 eV per atom. As for the symmetry: P4/mmm.

A plane-wave DFT calculation with PBE was carried out for a geometry-optimized Gd2CdTe structure.

POSCAR file:
```
Gd2CdTe
1.0
2.096 1.210 7.964
-2.096 1.210 7.964
0.000 -2.420 7.964
Gd Cd Te
2 1 1
direct
0.248 0.248 0.248 Gd
0.752 0.752 0.752 Gd
0.000 0.000 0.000 Cd
0.500 0.500 0.500 Te
```

Calculated values
The formation energy (no corrections) is -0.75 eV per atom. As for the symmetry: R-3m.

A plane-wave DFT calculation with PBE was carried out for a geometry-optimized Gd2ThCd structure.

POSCAR file:
```
Gd2ThCd
1.0
0.000 3.907 3.907
3.907 0.000 3.907
3.907 3.907 0.000
Gd Th Cd
2 1 1
direct
0.250 0.250 0.250 Gd
0.750 0.750 0.750 Gd
0.000 0.000 0.000 Th
0.500 0.500 0.500 Cd
```

Calculated values
As for the symmetry: Fm-3m.

A plane-wave DFT calculation with PBE was carried out for a geometry-optimized Gd2ThCd structure.

POSCAR file:
```
Gd2ThCd
1.0
1.764 1.018 12.028
-1.764 1.018 12.028
0.000 -2.036 12.028
Gd Th Cd
2 1 1
direct
0.090 0.090 0.090 Gd
0.910 0.910 0.910 Gd
0.500 0.500 0.500 Th
0.000 0.000 0.000 Cd
```

Calculated values
As for the symmetry: R-3m.

Number 1: DFT total energy -32.9 eV per cell. Number 2: DFT total energy -34.1 eV per cell. Number 3: DFT total energy -35.2 eV per cell. Number 4: DFT total energy -35.2 eV per cell. Number 5: DFT total energy -36.2 eV per cell. Number 6: DFT total energy -35.9 eV per cell.